Record 1
Entry from the Alexandria database: crystalline MoHPt at its relaxed geometry (GGA-PBE).

a = 5.0918 Å, b = 3.1268 Å, c = 4.6107 Å
α = 90.00°, β = 106.17°, γ = 90.00°
Closest atoms and distances in Å follow each position.
Sites, in units of the cell vectors:
1 H 0.4607 0.0000 0.5306  1 Mo 1.87, 3 Pt 1.89
2 Mo 0.8415 0.5000 0.1078  1 H 1.87
3 Mo 0.8415 0.0000 0.6078  1 H 1.87
4 Pt 0.2865 0.5000 0.6122  3 H 1.89
5 Pt 0.2865 0.0000 0.1122  3 H 1.89
6 H 0.4607 0.5000 0.0306  1 Mo 1.87, 3 Pt 1.89

Values from the calculation:
DOS at the Fermi energy = 3.4 states/eV per cell
calculated volume = 71 Å³/cell
excess energy over the best structure of this formula in the dataset = 178.3 meV/atom
spin magnetization = 0.00 μB/cell

Record 2
Entry from the Alexandria database: crystalline Mo3HPt at its relaxed geometry (GGA-PBE).

a = 5.7417 Å, b = 4.5423 Å, c = 4.9974 Å
α = 90.72°, β = 89.82°, γ = 90.02°
Closest atoms and distances in Å follow each position.
Sites, in units of the cell vectors:
1 H 0.2318 0.2087 0.8640  6 Mo 1.96-2.02
2 Mo 0.9787 0.9521 0.7067  2 H 2.02-2.04
3 Mo 0.4691 0.9468 0.7009  1 H 1.98
4 Pt 0.7218 0.4530 0.5300  1 H 2.19
5 Mo 0.4694 0.4697 0.0282  1 H 1.98
6 Mo 0.2281 0.9579 0.1798  2 H 1.93-1.96
7 Mo 0.2312 0.4591 0.5477  2 H 1.92-1.96
8 Pt 0.7204 0.9641 0.1979  1 H 2.22
9 H 0.0133 0.7056 0.3646  4 Mo 1.92-2.04
10 Mo 0.9791 0.4657 0.0197  2 H 2.01-2.04

Values from the calculation:
DOS at the Fermi energy = 6.9 states/eV per cell
calculated volume = 130 Å³/cell
excess energy over the best structure of this formula in the dataset = 65.2 meV/atom
spin magnetization = 0.00 μB/cell

Record 3
Entry from the Alexandria database: crystalline Sc2MoHPt at its relaxed geometry (GGA-PBE).

a = 4.5393 Å, b = 4.5393 Å, c = 3.5885 Å
α = 90.00°, β = 90.00°, γ = 90.00°
Closest atoms and distances in Å follow each position.
Sites, in units of the cell vectors:
1 H 0.0000 0.0000 0.0000  2 Mo 1.79
2 Sc 0.5000 0.0000 0.0000  2 H 2.27
3 Sc 0.0000 0.5000 0.0000  2 H 2.27
4 Mo 0.0000 0.0000 0.5000  2 H 1.79
5 Pt 0.5000 0.5000 0.5000  8 Sc 2.89, 4 Mo 3.21

Values from the calculation:
DOS at the Fermi energy = 3.8 states/eV per cell
calculated volume = 74 Å³/cell
VASP energy = -7.113 eV/atom
spin magnetization = 0.34 μB/cell

Record 4
Entry from the Alexandria database: crystalline TaMoHPt2 at its relaxed geometry (GGA-PBE).

a = 3.9252 Å, b = 3.9252 Å, c = 4.3150 Å
α = 90.00°, β = 90.00°, γ = 90.00°
Closest atoms and distances in Å follow each position.
Sites, in units of the cell vectors:
1 H 0.0000 0.0000 0.0000  4 Pt 1.96, 2 Ta 2.16
2 Pt 0.5000 0.0000 0.0000  2 H 1.96
3 Pt 0.0000 0.5000 0.0000  2 H 1.96
4 Mo 0.5000 0.5000 0.5000  4 Ta 2.78, 8 Pt 2.92
5 Ta 0.0000 0.0000 0.5000  2 H 2.16

Values from the calculation:
DOS at the Fermi energy = 3.9 states/eV per cell
calculated volume = 66 Å³/cell
excess energy over the best structure of this formula in the dataset = 55.2 meV/atom
spin magnetization = 0.00 μB/cell

Record 5
Entry from the Alexandria database: crystalline TaMo2HPt at its relaxed geometry (GGA-PBE).

a = 3.9951 Å, b = 3.9951 Å, c = 4.1943 Å
α = 90.00°, β = 90.00°, γ = 90.00°
Closest atoms and distances in Å follow each position.
Sites, in units of the cell vectors:
1 Mo 0.0000 0.5000 0.0000  2 H 2.00
2 Pt 0.0000 0.0000 0.5000  2 H 2.10
3 Ta 0.5000 0.5000 0.5000  4 Pt 2.82, 8 Mo 2.90
4 H 0.0000 0.0000 0.0000  4 Mo 2.00, 2 Pt 2.10
5 Mo 0.5000 0.0000 0.0000  2 H 2.00

Values from the calculation:
DOS at the Fermi energy = 4.8 states/eV per cell
calculated volume = 67 Å³/cell
excess energy over the best structure of this formula in the dataset = 62.5 meV/atom
spin magnetization = 0.00 μB/cell

Record 6
Entry from the Alexandria database: crystalline TaMoHPt2 at its relaxed geometry (GGA-PBE).

a = 3.9497 Å, b = 3.9497 Å, c = 4.2480 Å
α = 90.00°, β = 90.00°, γ = 90.00°
Closest atoms and distances in Å follow each position.
Sites, in units of the cell vectors:
1 Mo 0.0000 0.0000 0.5000  2 H 2.12
2 Ta 0.5000 0.5000 0.5000  4 Mo 2.79, 8 Pt 2.90
3 Pt 0.5000 0.0000 0.0000  2 H 1.97
4 H 0.0000 0.0000 0.0000  4 Pt 1.97, 2 Mo 2.12
5 Pt 0.0000 0.5000 0.0000  2 H 1.97

Values from the calculation:
DOS at the Fermi energy = 4.7 states/eV per cell
calculated volume = 66 Å³/cell
excess energy over the best structure of this formula in the dataset = 0.0 meV/atom
spin magnetization = 0.00 μB/cell